Computed, not measured: an optimized crystal structure of AsCI at the GGA-PBE level of DFT.

Values from the calculation:
The space group is P1, No. 1. Its relative energy among the computed polymorphs is 40 meV per atom. The volume is 23.9 A^3/atom. The value obtained for the uncorrected formation energy is 1.00 eV/atom. Its energy is -4.139 eV/atom.

Lattice parameters (Å, degrees): 3.197 3.249 8.134 79.04 79.62 60.53
Sites, in units of the cell vectors:
As (0.000, 0.000, 0.000)
C (0.692, 0.692, 0.916)
I (0.206, 0.201, 0.429)